TlCoF2: optimized geometry, PBE with a Hubbard U.

```
data_TlCoF2
_cell_length_a 7.3899
_cell_length_b 7.3899
_cell_length_c 7.3899
_cell_angle_alpha 29.75
_cell_angle_beta 29.75
_cell_angle_gamma 29.75
_symmetry_space_group_name_H-M 'P 1'
_symmetry_Int_Tables_number 1
loop_
_symmetry_equiv_pos_as_xyz
'x,y,z'
loop_
_atom_site_label
_atom_site_fract_x
_atom_site_fract_y
_atom_site_fract_z
Tl1 0.0000 0.0000 0.0000
Co1 0.5000 0.5000 0.5000
F1 0.4128 0.4128 0.4128
F2 0.5872 0.5872 0.5872
```

Computed properties:
DOS(E_F), states/eV per cell: 0.0
Energy above the lowest structure with this stoichiometry, meV per atom: 169.2
Symmetry: R-3m, No. 166
Volume, Å³/cell: 88.0
Total DFT energy (no corrections), hartree per atom: -0.1510